Record 1
An optimized crystal structure of LaPmPr2Dy2, computed with PBE-GGA.

abc: 7.1334 5.7950 10.0091
angles: 90.00 90.00 90.00
Space group Pmma (No. 51)
Unique sites:
La: 0.0000 0.0000 0.0000
Pm: 0.2500 0.5000 0.1666
Pr: 0.0000 0.5000 0.5000
Pr: 0.2500 0.0000 0.6673
Dy: 0.2500 0.0000 0.3334
Dy: 0.2500 0.5000 0.8330

Its energy of formation from the pure elements is 0.060 eV/atom. As for the uncorrected energy: -28.1 eV per formula unit. The density is 7.1 g/cm3.

***

Record 2
An optimized crystal structure of Li3CuBr, computed with PBE-GGA.

abc: 4.7945 4.7945 4.7945
angles: 90.00 90.00 90.00
Space group Pm-3m (No. 221)
Unique sites:
Li: 0.0000 0.0000 0.5000
Cu: 0.5000 0.5000 0.5000
Br: 0.0000 0.0000 0.0000

As for the uncorrected energy: -12.5 eV per formula unit. The density is 2.5 g/cm3. The uncorrected formation energy is -0.20 eV per atom.

***

Record 3
An optimized crystal structure of Be3GaPb, computed with PBE-GGA.

abc: 4.3998 4.3998 4.3998
angles: 90.00 90.00 90.00
Space group Pm-3m (No. 221)
Unique sites:
Be: 0.0000 0.0000 0.5000
Ga: 0.0000 0.0000 0.0000
Pb: 0.5000 0.5000 0.5000

Its energy of formation from the pure elements is 0.807 eV/atom. As for the uncorrected energy: -13.9 eV per formula unit. The density is 5.9 g/cm3.